# Sm3YEr6 | Alexandria | PBE | optimized geometry
# E = -46.44 eV/f.u.
data_Sm3YEr6
_symmetry_space_group_name_H-M 'C m c 21'
_symmetry_Int_Tables_number 36
_cell_length_a 10.873
_cell_length_b 18.734
_cell_length_c 6.321
_cell_angle_alpha 90.00
_cell_angle_beta 90.00
_cell_angle_gamma 90.00
loop_
_symmetry_equiv_pos_as_xyz
'x,y,z'
'-x,-y,z+1/2'
'-x,y,z'
'x,-y,z+1/2'
'x+1/2,y+1/2,z'
'-x+1/2,-y+1/2,z+1/2'
'-x+1/2,y+1/2,z'
'x+1/2,-y+1/2,z+1/2'
loop_
_atom_site_label
_atom_site_type_symbol
_atom_site_fract_x
_atom_site_fract_y
_atom_site_fract_z
Sm1 Sm 0.000 0.112 0.000
Sm2 Sm 0.177 0.387 0.605
Y1 Y 0.000 0.307 0.940
Er1 Er 0.000 0.229 0.419
Er2 Er 0.000 0.463 0.206
Er3 Er 0.167 0.046 0.525
Er4 Er 0.238 0.210 0.702

***

# SmY7Er3 | Alexandria | PBE | optimized geometry
# E = -61.42 eV/f.u.
data_SmY7Er3
_symmetry_space_group_name_H-M 'P 3 m 1'
_symmetry_Int_Tables_number 156
_cell_length_a 7.0813
_cell_length_b 7.0813
_cell_length_c 8.5875
_cell_angle_alpha 90.00
_cell_angle_beta 90.00
_cell_angle_gamma 120.00
loop_
_symmetry_equiv_pos_as_xyz
'x,y,z'
'-y,x-y,z'
'-x+y,-x,z'
'-y,-x,z'
'-x+y,y,z'
'x,x-y,z'
loop_
_atom_site_label
_atom_site_type_symbol
_atom_site_fract_x
_atom_site_fract_y
_atom_site_fract_z
Sm1 Sm 0.0000 0.0000 0.0000
Y1 Y 0.0022 0.5011 0.9972
Y2 Y 0.3307 0.1653 0.3329
Y3 Y 0.3333 0.6667 0.3308
Er1 Er 0.1668 0.3335 0.6647

***

# SmYEr2 | Alexandria | PBE | optimized geometry
# E = -20.22 eV/f.u.
data_SmYEr2
_symmetry_space_group_name_H-M 'R -3 m'
_symmetry_Int_Tables_number 166
_symmetry_space_group_name_Hall '-R 3 2"'
_cell_length_a 3.5568
_cell_length_b 3.5568
_cell_length_c 34.6993
_cell_angle_alpha 90.00
_cell_angle_beta 90.00
_cell_angle_gamma 120.00
loop_
_atom_site_label
_atom_site_type_symbol
_atom_site_fract_x
_atom_site_fract_y
_atom_site_fract_z
Sm1 Sm 0.0000 0.0000 0.0000
Y1 Y 0.0000 0.0000 0.5000
Er1 Er 0.0000 0.0000 0.2496

***

# SmY8Er2 | Alexandria | PBE | optimized geometry
# E = -63.78 eV/f.u.
data_SmY8Er2
_symmetry_space_group_name_H-M 'C 1 2/m 1'
_symmetry_Int_Tables_number 12
_cell_length_a 9.035
_cell_length_b 16.275
_cell_length_c 5.888
_cell_angle_alpha 90.00
_cell_angle_beta 123.78
_cell_angle_gamma 90.00
loop_
_symmetry_equiv_pos_as_xyz
'x,y,z'
'-x,-y,-z'
'-x,y,-z'
'x,-y,z'
'x+1/2,y+1/2,z'
'-x+1/2,-y+1/2,-z'
'-x+1/2,y+1/2,-z'
'x+1/2,-y+1/2,z'
loop_
_atom_site_label
_atom_site_type_symbol
_atom_site_fract_x
_atom_site_fract_y
_atom_site_fract_z
Sm1 Sm 0.000 0.000 0.000
Y1 Y 0.000 0.206 0.000
Y2 Y 0.070 0.500 0.792
Y3 Y 0.219 0.120 0.680
Er1 Er 0.000 0.308 0.500

***

# Sm7YEr3 | Alexandria | PBE | optimized geometry
# E = -50.54 eV/f.u.
data_Sm7YEr3
_symmetry_space_group_name_H-M 'C 1 2/m 1'
_symmetry_Int_Tables_number 12
_cell_length_a 12.728
_cell_length_b 11.251
_cell_length_c 5.847
_cell_angle_alpha 90.00
_cell_angle_beta 117.26
_cell_angle_gamma 90.00
loop_
_symmetry_equiv_pos_as_xyz
'x,y,z'
'-x,-y,-z'
'-x,y,-z'
'x,-y,z'
'x+1/2,y+1/2,z'
'-x+1/2,-y+1/2,-z'
'-x+1/2,y+1/2,-z'
'x+1/2,-y+1/2,z'
loop_
_atom_site_label
_atom_site_type_symbol
_atom_site_fract_x
_atom_site_fract_y
_atom_site_fract_z
Sm1 Sm 0.000 0.000 0.000
Sm2 Sm 0.195 0.292 0.694
Sm3 Sm 0.208 0.500 0.206
Y1 Y 0.000 0.000 0.500
Er1 Er 0.000 0.296 0.000
Er2 Er 0.000 0.500 0.500

***

# SmY7Er2 | Alexandria | PBE | optimized geometry
# E = -57.92 eV/f.u.
data_SmY7Er2
_symmetry_space_group_name_H-M 'C 1 2/m 1'
_symmetry_Int_Tables_number 12
_cell_length_a 6.171
_cell_length_b 29.707
_cell_length_c 3.520
_cell_angle_alpha 90.00
_cell_angle_beta 90.79
_cell_angle_gamma 90.00
loop_
_symmetry_equiv_pos_as_xyz
'x,y,z'
'-x,-y,-z'
'-x,y,-z'
'x,-y,z'
'x+1/2,y+1/2,z'
'-x+1/2,-y+1/2,-z'
'-x+1/2,y+1/2,-z'
'x+1/2,-y+1/2,z'
loop_
_atom_site_label
_atom_site_type_symbol
_atom_site_fract_x
_atom_site_fract_y
_atom_site_fract_z
Sm1 Sm 0.000 0.000 0.000
Y1 Y 0.000 0.292 0.000
Y2 Y 0.000 0.500 0.500
Y3 Y 0.245 0.399 0.773
Er1 Er 0.000 0.192 0.500

***

# Sm4Y8Er3 | Alexandria | PBE | optimized geometry
# E = -78.58 eV/f.u.
data_Sm4Y8Er3
_symmetry_space_group_name_H-M 'C 1 2/m 1'
_symmetry_Int_Tables_number 12
_cell_length_a 13.451
_cell_length_b 12.843
_cell_length_c 6.764
_cell_angle_alpha 90.00
_cell_angle_beta 120.07
_cell_angle_gamma 90.00
loop_
_symmetry_equiv_pos_as_xyz
'x,y,z'
'-x,-y,-z'
'-x,y,-z'
'x,-y,z'
'x+1/2,y+1/2,z'
'-x+1/2,-y+1/2,-z'
'-x+1/2,y+1/2,-z'
'x+1/2,-y+1/2,z'
loop_
_atom_site_label
_atom_site_type_symbol
_atom_site_fract_x
_atom_site_fract_y
_atom_site_fract_z
Sm1 Sm 0.000 0.000 0.000
Sm2 Sm 0.000 0.000 0.500
Sm3 Sm 0.250 0.250 0.000
Y1 Y 0.000 0.253 0.000
Y2 Y 0.000 0.359 0.500
Y3 Y 0.230 0.500 0.962
Y4 Y 0.235 0.500 0.487
Er1 Er 0.000 0.500 0.000
Er2 Er 0.250 0.250 0.500

***

# Sm4YEr2 | Alexandria | PBE | optimized geometry
# E = -33.57 eV/f.u.
data_Sm4YEr2
_symmetry_space_group_name_H-M 'P 1 21/m 1'
_symmetry_Int_Tables_number 11
_cell_length_a 6.239
_cell_length_b 6.584
_cell_length_c 11.533
_cell_angle_alpha 90.00
_cell_angle_beta 104.89
_cell_angle_gamma 90.00
loop_
_symmetry_equiv_pos_as_xyz
'x,y,z'
'-x,-y,-z'
'-x,y+1/2,-z'
'x,-y+1/2,z'
loop_
_atom_site_label
_atom_site_type_symbol
_atom_site_fract_x
_atom_site_fract_y
_atom_site_fract_z
Sm1 Sm 0.042 0.250 0.363
Sm2 Sm 0.148 0.250 0.951
Sm3 Sm 0.349 0.509 0.214
Y1 Y 0.154 0.250 0.664
Er1 Er 0.292 0.750 0.923
Er2 Er 0.390 0.750 0.506

***

# Sm3Y4Er5 | Alexandria | PBE | optimized geometry
# E = -62.59 eV/f.u.
data_Sm3Y4Er5
_symmetry_space_group_name_H-M 'P -1'
_symmetry_Int_Tables_number 2
_cell_length_a 6.143
_cell_length_b 7.133
_cell_length_c 9.394
_cell_angle_alpha 101.00
_cell_angle_beta 108.59
_cell_angle_gamma 90.07
loop_
_symmetry_equiv_pos_as_xyz
'x,y,z'
'-x,-y,-z'
loop_
_atom_site_label
_atom_site_type_symbol
_atom_site_fract_x
_atom_site_fract_y
_atom_site_fract_z
Sm1 Sm 0.000 0.000 0.000
Sm2 Sm 0.499 0.582 0.331
Y1 Y 0.000 0.168 0.667
Y2 Y 0.499 0.084 0.332
Er1 Er 0.000 0.334 0.333
Er2 Er 0.000 0.500 0.000
Er3 Er 0.498 0.749 0.999

***

# SmY4Er7 | Alexandria | PBE | optimized geometry
# E = -59.14 eV/f.u.
data_SmY4Er7
_symmetry_space_group_name_H-M 'C 1 2/m 1'
_symmetry_Int_Tables_number 12
_cell_length_a 12.013
_cell_length_b 5.835
_cell_length_c 12.649
_cell_angle_alpha 90.00
_cell_angle_beta 118.19
_cell_angle_gamma 90.00
loop_
_symmetry_equiv_pos_as_xyz
'x,y,z'
'-x,-y,-z'
'-x,y,-z'
'x,-y,z'
'x+1/2,y+1/2,z'
'-x+1/2,-y+1/2,-z'
'-x+1/2,y+1/2,-z'
'x+1/2,-y+1/2,z'
loop_
_atom_site_label
_atom_site_type_symbol
_atom_site_fract_x
_atom_site_fract_y
_atom_site_fract_z
Sm1 Sm 0.000 0.000 0.000
Y1 Y 0.133 0.500 0.775
Y2 Y 0.248 0.000 0.683
Er1 Er 0.000 0.500 0.000
Er2 Er 0.061 0.000 0.326
Er3 Er 0.134 0.500 0.502
Er4 Er 0.211 0.000 0.924

***

# Sm3Y2Er8 | Alexandria | PBE | optimized geometry
# E = -63.28 eV/f.u.
data_Sm3Y2Er8
_symmetry_space_group_name_H-M 'P -1'
_symmetry_Int_Tables_number 2
_cell_length_a 6.145
_cell_length_b 6.147
_cell_length_c 11.190
_cell_angle_alpha 90.08
_cell_angle_beta 100.44
_cell_angle_gamma 99.57
loop_
_symmetry_equiv_pos_as_xyz
'x,y,z'
'-x,-y,-z'
loop_
_atom_site_label
_atom_site_type_symbol
_atom_site_fract_x
_atom_site_fract_y
_atom_site_fract_z
Sm1 Sm 0.000 0.000 0.000
Sm2 Sm 0.231 0.538 0.922
Y1 Y 0.383 0.231 0.538
Er1 Er 0.077 0.846 0.309
Er2 Er 0.153 0.692 0.615
Er3 Er 0.308 0.385 0.232
Er4 Er 0.462 0.076 0.844

***

# Sm2Y12Er5 | Alexandria | PBE | optimized geometry
# E = -107.35 eV/f.u.
data_Sm2Y12Er5
_symmetry_space_group_name_H-M 'C 1 2/m 1'
_symmetry_Int_Tables_number 12
_cell_length_a 15.662
_cell_length_b 9.296
_cell_length_c 8.554
_cell_angle_alpha 90.00
_cell_angle_beta 91.16
_cell_angle_gamma 90.00
loop_
_symmetry_equiv_pos_as_xyz
'x,y,z'
'-x,-y,-z'
'-x,y,-z'
'x,-y,z'
'x+1/2,y+1/2,z'
'-x+1/2,-y+1/2,-z'
'-x+1/2,y+1/2,-z'
'x+1/2,-y+1/2,z'
loop_
_atom_site_label
_atom_site_type_symbol
_atom_site_fract_x
_atom_site_fract_y
_atom_site_fract_z
Sm1 Sm 0.000 0.179 0.000
Y1 Y 0.058 0.000 0.330
Y2 Y 0.089 0.500 0.879
Y3 Y 0.127 0.192 0.656
Y4 Y 0.155 0.320 0.241
Er1 Er 0.000 0.500 0.500
Er2 Er 0.198 0.000 0.012
Er3 Er 0.231 0.500 0.575